Entry 1:
Below is a relaxed LiHfSe2Br crystal, with properties calculated at the PBE-GGA level.

## Properties
As for the total DFT energy (no corrections): -4.203 eV per atom. The density of states at the Fermi level is 3.2 states/eV per cell. Its formation energy from raw total energies is -0.1010 eV/atom. Its space group is P4/mmm, No. 123. The magnetic moment comes out at 0.0 μB/f.u.

a = 4.801 Å, b = 4.801 Å, c = 4.494 Å
α = 90.00°, β = 90.00°, γ = 90.00°
Fractional coordinates of all 5 atoms:
1 Li 0.000 0.000 0.000
2 Hf 0.500 0.500 0.500
3 Se 0.000 0.500 0.000
4 Se 0.500 0.000 0.000
5 Br 0.000 0.000 0.500



Entry 2:
Below is a relaxed Mn2Tc crystal, with properties calculated at the PBE-GGA level.

## Properties
As for the total DFT energy (no corrections): -9.408 eV per atom. The density of states at the Fermi level is 6.7 states/eV per cell. Its space group is P6_3/mmc, No. 194. The magnetic moment comes out at 0.4 μB/f.u.

a = 4.122 Å, b = 4.122 Å, c = 5.076 Å
α = 90.00°, β = 90.00°, γ = 120.00°
Fractional coordinates of all 6 atoms:
1 Mn 0.000 0.000 0.000
2 Mn 0.000 0.000 0.500
3 Mn 0.333 0.667 0.250
4 Mn 0.667 0.333 0.750
5 Tc 0.333 0.667 0.750
6 Tc 0.667 0.333 0.250



Entry 3:
Below is a relaxed Al2Cd3Au4 crystal, with properties calculated at the PBE-GGA level.

## Properties
As for the total DFT energy (no corrections): -2.797 eV per atom. The density of states at the Fermi level is 2.0 states/eV per cell. Its space group is C2/m, No. 12. The magnetic moment comes out at 0.0 μB/f.u.

a = 5.330 Å, b = 5.330 Å, c = 8.880 Å
α = 96.84°, β = 96.84°, γ = 46.44°
Fractional coordinates of all 9 atoms:
1 Al 0.137 0.137 0.309
2 Al 0.863 0.863 0.691
3 Cd 0.130 0.130 0.912
4 Cd 0.500 0.500 0.500
5 Cd 0.870 0.870 0.088
6 Au 0.196 0.196 0.604
7 Au 0.413 0.413 0.861
8 Au 0.587 0.587 0.139
9 Au 0.804 0.804 0.396



> Among the records above, which one has the highest total DFT energy (no corrections)?

Al2Cd3Au4